Here is LaAuC after structural relaxation from the Alexandria database. Energies are from PBE.

Values from the calculation:
total energy: -5.752 eV/atom

Lattice parameters (Å, degrees): 4.1969 4.6471 6.3845 98.90 91.44 90.44
Last column: nearest neighbours and their distance in Å.
Space group P1 (No. 1)
Symmetry-distinct sites (fractional):
La 0.0000 0.0000 0.0000  2 C 2.58-2.71
La 0.3545 0.6141 0.4104  4 C 2.58-2.80
Au 0.5161 0.4586 0.9006  2 C 2.13-2.17
Au 0.8662 0.1382 0.5354  2 C 2.19-2.20
C 0.3684 0.1428 0.6365  3 Au 2.13-2.20
C 0.8470 0.5512 0.1698  1 Au 2.17


Here is Na4Np3MnS8 after structural relaxation from the Alexandria database. Energies are from PBE.

Values from the calculation:
E_form (uncorrected): -1.233 eV/atom

Lattice parameters (Å, degrees): 7.9067 7.9067 19.8993 90.00 90.00 120.00
Last column: nearest neighbours and their distance in Å.
Space group R-3m (No. 166, hexagonal axes)
Symmetry-distinct sites (fractional):
Na 0.0000 0.0000 0.0000  6 S 2.98
Na 0.0000 0.5000 0.0000  6 S 2.91
Np 0.0000 0.5000 0.5000  6 S 2.74
Mn 0.0000 0.0000 0.5000  6 S 2.66
S 0.0000 0.0000 0.2426  3 Np 2.74, 3 Na 2.91
S 0.0088 0.5044 0.2404  1 Mn 2.66, 2 Np 2.74, 2 Na 2.91